This record from OQMD via LeMat-Bulk describes a relaxed YScCoB crystal. The functional is GGA-PBE.

a b c (Å): 4.364 4.364 4.364
angles (deg): 60.00 60.00 60.00
Atoms (fractional coordinates):
1 B 0.000 0.000 0.000
2 Sc 0.500 0.500 0.500
3 Co 0.750 0.750 0.750
4 Y 0.250 0.250 0.250

total moment = 0.00 μB/f.u.
SG = F-43m (216)


This record from OQMD via LeMat-Bulk describes a relaxed SmYCuSi3 crystal. The functional is GGA-PBE.

a b c (Å): 8.082 8.028 5.753
angles (deg): 69.58 68.58 41.85
Atoms (fractional coordinates):
1 Y 0.750 0.750 0.750
2 Si 0.169 0.169 0.831
3 Cu 0.667 0.667 0.333
4 Si 0.660 0.170 0.340
5 Si 0.170 0.660 0.830
6 Cu 0.333 0.333 0.667
7 Sm 0.243 0.757 0.243
8 Sm 0.757 0.243 0.757
9 Y 0.250 0.250 0.250
10 Si 0.831 0.831 0.169
11 Si 0.830 0.340 0.170
12 Si 0.340 0.830 0.660

total moment = 0.00 μB/f.u.
SG = Fmmm (69)


This record from OQMD via LeMat-Bulk describes a relaxed Ho3Mg3Zn2Cd crystal. The functional is GGA-PBE.

a b c (Å): 7.550 7.550 4.215
angles (deg): 90.00 90.00 120.00
Atoms (fractional coordinates):
1 Ho 0.580 0.000 0.000
2 Ho 0.000 0.580 0.000
3 Ho 0.420 0.420 0.000
4 Mg 0.255 0.000 0.500
5 Zn 0.333 0.667 0.500
6 Cd 0.000 0.000 0.000
7 Zn 0.667 0.333 0.500
8 Mg 0.000 0.255 0.500
9 Mg 0.745 0.745 0.500

total moment = 0.01 μB/f.u.
SG = P-62m (189)


This record from OQMD via LeMat-Bulk describes a relaxed AgSbPb crystal. The functional is GGA-PBE.

a b c (Å): 6.685 4.350 10.640
angles (deg): 90.00 90.00 90.00
Atoms (fractional coordinates):
1 Sb 0.125 0.250 0.125
2 Pb 0.338 0.750 0.925
3 Sb 0.875 0.750 0.875
4 Sb 0.375 0.750 0.625
5 Pb 0.162 0.250 0.425
6 Ag 0.381 0.750 0.241
7 Ag 0.619 0.250 0.759
8 Ag 0.119 0.250 0.741
9 Ag 0.881 0.750 0.259
10 Pb 0.838 0.750 0.575
11 Sb 0.625 0.250 0.375
12 Pb 0.662 0.250 0.075

SG = Pnma (62)


| no. | VASP energy (eV/atom) |
| --- | --- |
| 1 | -6.351 |
| 2 | -5.945 |
| 3 | -2.673 |
| 4 | -3.448 |